8
Lattice="-2.321 3.849 8.043 2.321 -3.849 8.043 2.321 3.849 -8.043" Properties=species:S:1:pos:R:3 comment="PBE Sr2InBr5, relaxed" final_energy_ev_per_fu=-28.11 spacegroup="No. 71" formation_energy_uncorrected_ev_per_atom=-1.705 polymorph_energy_mev_per_atom=49 pbc="T T T"
Sr 0.000 0.000 2.986
Sr 0.000 0.000 13.101
In 0.000 3.849 0.000
Br 0.000 0.000 0.000
Br 2.321 2.044 -2.458
Br 2.321 2.044 2.458
Br 0.000 1.805 5.585
Br 0.000 1.805 10.501